VASP calculation (PBE+U) on an optimized crystal structure of Rb3MnAg2F9.

Structure (POSCAR):
```
Rb3MnAg2F9
1.0
6.211 0.000 0.000
-3.105 5.379 0.000
0.000 0.000 7.639
Rb Mn F Ag
3 1 9 2
direct
0.667 0.333 0.314
0.000 0.000 0.000
0.333 0.667 0.686
0.000 0.000 0.500
0.848 0.695 0.649
0.305 0.152 0.649
0.500 0.000 0.000
0.152 0.305 0.351
0.000 0.500 0.000
0.500 0.500 0.000
0.848 0.152 0.649
0.695 0.848 0.351
0.152 0.848 0.351
0.333 0.667 0.179
0.667 0.333 0.821
```

- density of states at the Fermi level (states/eV per cell) = 4.729
- energy (eV/atom) = -4.386
- ρ (g/cm3) = 4.542
- space-group type = P-3m1
- crystal system = trigonal